(1)
10
Lattice="6.3378 0.0000 0.0000 0.0000 6.3378 0.0000 0.0000 0.0000 4.9023" Properties=species:S:1:pos:R:3 comment="PBE Mg2Ti2Re, optimized geometry" dos_ef_per_ev_atom=0.8060 delta_e_f_ev_per_atom=0.3403 crystal_system=tetragonal pbc="T T T"
Mg 1.0840 2.0849 0.0000
Mg 2.0849 5.2538 0.0000
Mg 4.2529 1.0840 0.0000
Mg 5.2538 4.2529 0.0000
Ti 0.9658 4.1347 2.4512
Ti 2.2031 0.9658 2.4512
Ti 4.1347 5.3720 2.4512
Ti 5.3720 2.2031 2.4512
Re 0.0000 0.0000 2.4512
Re 3.1689 3.1689 2.4512


(2)
8
Lattice="-3.6255 3.6255 2.7503 3.6255 -3.6255 2.7503 3.6255 3.6255 -2.7503" Properties=species:S:1:pos:R:3 comment="PBE MgTi2Re, optimized geometry" dos_ef_per_ev_atom=0.7810 delta_e_f_ev_per_atom=0.4400 crystal_system=tetragonal pbc="T T T"
Mg 0.0000 0.0000 0.0000
Mg 0.0000 3.6255 1.3752
Ti 1.8127 -1.5740 2.0627
Ti 2.0515 1.8127 0.6876
Ti 1.8127 5.1995 -0.6876
Ti 1.5740 1.8127 3.4379
Re 3.6255 0.0000 1.3752
Re 0.0000 0.0000 2.7503